[1]
DFT (PBE) results for a geometry-optimized Mg2FeCu structure.

## Properties
ρ   4477 kg/m3
Fermi-level density of states   4.28 states/eV per cell
E_tot   -14.91 eV/cell

Lattice parameters (Å, degrees): 4.903 4.903 4.903 132.78 132.78 69.00
Positions (direct):
Mg 0.250 0.750 0.500
Mg 0.000 0.000 0.000
Cu 0.500 0.500 0.000
Fe 0.750 0.250 0.500


[2]
DFT (PBE) results for a geometry-optimized La2Ce2Ge4Pt structure.

## Properties
ρ   7679 kg/m3
Fermi-level density of states   8.06 states/eV per cell
E_tot   -51.48 eV/cell

Lattice parameters (Å, degrees): 6.674 6.674 6.674 101.66 113.51 113.51
Positions (direct):
Ce 0.000 0.663 0.663
Pt 0.000 0.000 0.000
Ge 0.515 0.758 0.758
Ge 0.000 0.242 0.758
La 0.500 0.750 0.250
La 0.500 0.250 0.750
Ge 0.485 0.242 0.242
Ce 0.000 0.337 0.337
Ge 0.000 0.758 0.242


[3]
DFT (PBE) results for a geometry-optimized Tb9Ho2Er structure.

## Properties
Energy above the most stable polymorph in this dataset   0.031 eV/atom
ρ   8473 kg/m3
Fermi-level density of states   17.29 states/eV per cell

Lattice parameters (Å, degrees): 3.480 11.195 11.195 120.00 90.00 90.00
Positions (direct):
Tb 0.000 0.500 0.000
Ho 0.000 0.667 0.333
Er 0.000 0.000 0.000
Tb 0.500 0.175 0.825
Tb 0.500 0.351 0.175
Tb 0.500 0.649 0.825
Tb 0.500 0.825 0.649
Tb 0.000 0.500 0.500
Tb 0.500 0.825 0.175
Ho 0.000 0.333 0.667
Tb 0.000 0.000 0.500
Tb 0.500 0.175 0.351


[4]
DFT (PBE) results for a geometry-optimized Be2AgAu8 structure.

## Properties
ρ   15323 kg/m3
Fermi-level density of states   2.69 states/eV per cell
E_tot   -37.19 eV/cell

Lattice parameters (Å, degrees): 4.440 6.765 6.765 110.04 98.52 98.52
Positions (direct):
Au 0.500 0.746 0.254
Au 0.913 0.674 0.940
Au 0.688 0.381 0.381
Be 0.000 0.326 0.674
Au 0.087 0.060 0.326
Ag 0.500 0.000 0.000
Au 0.913 0.940 0.674
Be 0.000 0.674 0.326
Au 0.500 0.254 0.746
Au 0.087 0.326 0.060
Au 0.312 0.619 0.619


Calculated volume across the listed records, respectively: 15.58; 25.08; 31.48; 16.76 Å³/atom.